(1)
Below is a relaxed structure of ScGe2Ir, with properties calculated at the PBE level.

Summary:
E_form: -399 meV per atom
calculated volume: 16.48 A^3/atom
DOS at the Fermi energy: 0.386 states/eV/atom

Cell and atoms, written as POSCAR:
```
ScGe2Ir
1.0
6.4125 0.0000 0.0000
0.0000 6.4125 0.0000
0.0000 0.0000 6.4125
Sc Ge Ir
4 8 4
Cartesian
0.0000 0.0000 0.0000
0.0000 3.2063 3.2063
3.2063 0.0000 3.2063
3.2063 3.2063 0.0000
1.6031 1.6031 1.6031
1.6031 1.6031 4.8094
1.6031 4.8094 1.6031
1.6031 4.8094 4.8094
4.8094 1.6031 1.6031
4.8094 1.6031 4.8094
4.8094 4.8094 1.6031
4.8094 4.8094 4.8094
0.0000 0.0000 3.2063
0.0000 3.2063 0.0000
3.2063 0.0000 0.0000
3.2063 3.2063 3.2063
```

---

(2)
Below is a relaxed structure of ScGe2Ir2, with properties calculated at the PBE level.

Summary:
E_form: -371 meV per atom
calculated volume: 16.06 A^3/atom
DOS at the Fermi energy: 0.538 states/eV/atom

Cell and atoms, written as POSCAR:
```
ScGe2Ir2
1.0
7.4704 0.0000 0.0000
0.0000 7.4704 0.0000
0.0000 0.0000 2.8769
Sc Ge Ir
2 4 4
Cartesian
0.0000 0.0000 0.0000
3.7352 3.7352 0.0000
1.1083 2.6269 0.0000
2.6269 6.3620 0.0000
4.8435 1.1083 0.0000
6.3620 4.8435 0.0000
1.1059 4.8411 1.4385
2.6293 1.1059 1.4385
4.8411 6.3645 1.4385
6.3645 2.6293 1.4385
```